A relaxed structure of Pr3Mg3Tl2Au, computed with PBE.

Unit cell a=7.716 b=7.716 c=4.670 alpha=90.00 beta=90.00 gamma=120.00
Sites, in units of the cell vectors:
Pr 0.593 0.000 0.000
Pr 0.000 0.593 0.000
Pr 0.407 0.407 0.000
Mg 0.000 0.232 0.500
Mg 0.232 0.000 0.500
Mg 0.768 0.768 0.500
Tl 0.667 0.333 0.500
Tl 0.333 0.667 0.500
Au 0.000 0.000 0.000

Results
uncorrected energy = -31.16 eV for the cell shown
spin magnetization = 0.00 μB per atom
theoretical density = 7.60 g cm⁻³